Entry 1:
# PBE Rb2LaHfBr6, relaxed
# E_form (uncorrected) ... -1.3532 eV per atom
# SG ... No. 225
data_Rb2LaHfBr6
_chemical_formula_sum 'Rb2 La1 Hf1 Br6'
_space_group_name_H-M_alt 'P 1'
_space_group_IT_number 1
_space_group_name_Hall 'P 1'
_cell_length_a 7.9820
_cell_length_b 7.9820
_cell_length_c 7.9824
_cell_angle_alpha 60.00
_cell_angle_beta 60.00
_cell_angle_gamma 90.00
loop_
_atom_site_label
_atom_site_type_symbol
_atom_site_fract_x
_atom_site_fract_y
_atom_site_fract_z
Hf1 Hf 0.0000 0.0000 0.0000
Br1 Br 0.2377 0.2377 0.5247
Br2 Br 0.7623 0.7623 0.4753
Br3 Br 0.2376 0.2376 0.0000
Br4 Br 0.7624 0.7624 0.0000
Br5 Br 0.7624 0.2376 0.0000
Br6 Br 0.2376 0.7624 0.0000
Rb1 Rb 0.7500 0.2500 0.5000
Rb2 Rb 0.2500 0.7500 0.5000
La1 La 0.5000 0.5000 0.0000

Entry 2:
# PBE Hf4CuMo, relaxed
# Energy of formation ... -0.03 eV per atom
# SG ... No. 123
data_Hf4CuMo
_chemical_formula_sum 'Hf4 Cu1 Mo1'
_space_group_name_H-M_alt 'P 1'
_space_group_IT_number 1
_space_group_name_Hall 'P 1'
_cell_length_a 3.2901
_cell_length_b 3.2901
_cell_length_c 10.6785
_cell_angle_alpha 90.00
_cell_angle_beta 90.00
_cell_angle_gamma 90.00
loop_
_atom_site_label
_atom_site_type_symbol
_atom_site_fract_x
_atom_site_fract_y
_atom_site_fract_z
Hf1 Hf 0.4999 0.4999 0.8467
Hf2 Hf 0.5001 0.5001 0.1533
Hf3 Hf 0.0000 0.0000 0.6565
Hf4 Hf 0.0000 0.0000 0.3435
Cu1 Cu 0.5000 0.5000 0.5000
Mo1 Mo 0.0000 0.0000 0.0000

Entry 3:
# PBE Pa2Hg, relaxed
# Excess energy over the best structure of this formula in the dataset ... 328 meV per atom
# Energy of formation ... 0.38 eV per atom
# SG ... No. 227
data_Pa2Hg
_chemical_formula_sum 'Pa4 Hg2'
_space_group_name_H-M_alt 'P 1'
_space_group_IT_number 1
_space_group_name_Hall 'P 1'
_cell_length_a 6.0074
_cell_length_b 6.0074
_cell_length_c 6.0074
_cell_angle_alpha 60.00
_cell_angle_beta 60.00
_cell_angle_gamma 60.00
loop_
_atom_site_label
_atom_site_type_symbol
_atom_site_fract_x
_atom_site_fract_y
_atom_site_fract_z
Pa1 Pa 0.1250 0.6250 0.6250
Pa2 Pa 0.6250 0.1250 0.6250
Pa3 Pa 0.6250 0.6250 0.6250
Pa4 Pa 0.6250 0.6250 0.1250
Hg1 Hg 0.0000 0.0000 0.0000
Hg2 Hg 0.2500 0.2500 0.2500